First-principles (GGA-PBEsol) data for an optimized crystal structure of Ni2TeSe, as listed in Alexandria via LeMat-Bulk.

The structure belongs to space group P4/mmm (No. 123); the cell edges are 3.132, 3.132 and 6.327 Å and the angles 90.00°, 90.00° and 90.00°. Symmetry generates all atoms from Ni at (0.000, 0.000, 0.220), Te at (0.500, 0.500, 0.500) and Se at (0.500, 0.500, 0.000).

The value obtained for the electronic total energy is -4.763 eV per atom. As for the offset from the most stable computed form: 1.42 eV/f.u. The uncorrected formation energy is 0.159 eV per atom. Its mass density is 8.670 g cm⁻³.